Density functional theory data (PBE-GGA) for an optimized crystal structure of Dy6Mg2Hg.

Unit cell a=6.257 b=9.438 c=10.168 alpha=90.00 beta=117.21 gamma=90.00
Element x y z (fractional)
Dy: 0.063 0.168 0.465
Dy: 0.063 0.332 0.965
Dy: 0.357 0.692 0.432
Dy: 0.357 0.808 0.932
Dy: 0.430 0.039 0.310
Dy: 0.430 0.461 0.810
Dy: 0.570 0.539 0.190
Dy: 0.570 0.961 0.690
Dy: 0.643 0.192 0.068
Dy: 0.643 0.308 0.568
Dy: 0.937 0.668 0.035
Dy: 0.937 0.832 0.535
Mg: 0.140 0.102 0.775
Mg: 0.140 0.398 0.275
Mg: 0.860 0.602 0.725
Mg: 0.860 0.898 0.225
Hg: 0.000 0.000 0.000
Hg: 0.000 0.500 0.500

Properties
DFT total energy: -3.446 eV per atom
DOS(E_F): 20.904 states/eV/cell
magnetization: 0.0 μB per formula unit